1.
A plane-wave DFT calculation with PBE was carried out for crystalline Zn2FeAg at its relaxed geometry.

Summary:
Calculated volume (A^3/atom): 14.778
ΔH_f (0 K) (kJ/mol of formula units): 52
Polymorph energy (0 for the lowest one) (meV/atom): 115.6

abc: 8.6827 2.7230 5.0599
angles: 90.00 98.80 90.00
Space group C2/m (No. 12)
One atom of each set of equivalent atoms:
Zn 0.2452 0.0000 0.2299 [4 per cell]
Fe 0.0000 0.5000 0.0000 [2 per cell]
Ag 0.0000 0.0000 0.5000 [2 per cell]


2.
A plane-wave DFT calculation with PBE was carried out for crystalline ZnFeAg2 at its relaxed geometry.

Summary:
Calculated volume (A^3/atom): 15.635
ΔH_f (0 K) (kJ/mol of formula units): 85

abc: 9.5689 2.8234 4.8015
angles: 90.00 105.37 90.00
Space group Cm (No. 8)
One atom of each set of equivalent atoms:
Zn 0.0000 0.0000 0.0000 [2 per cell]
Fe 0.2279 0.5000 0.2506 [2 per cell]
Ag 0.2477 0.0000 0.7660 [2 per cell]
Ag 0.4803 0.0000 0.4820 [2 per cell]